1.
TaAgMo3: relaxed, PBE.

Properties
distance to the lowest polymorph of the same formula	620.6	meV/atom
formation enthalpy at 0 K	2455	meV/atom

Unit cell a=4.7280 b=4.7280 c=4.7280 alpha=90.00 beta=90.00 gamma=90.00
Last column: nearest neighbours and their distance in Å.
Space group Pm-3m (No. 221)
Symmetry-distinct sites (fractional):
1 Ta 0.0000 0.0000 0.0000 (multiplicity 1)  12 Mo 3.34
2 Ag 0.5000 0.5000 0.5000 (multiplicity 1)  6 Mo 2.36
3 Mo 0.0000 0.5000 0.5000 (multiplicity 3)  2 Ag 2.36

***

2.
K2CeI2Cl4: relaxed, PBE.

Properties
formation energy without anion corrections	-1.73	eV per atom

Unit cell a=7.6421 b=7.6421 c=11.5953 alpha=90.00 beta=90.00 gamma=90.00
Last column: nearest neighbours and their distance in Å.
Space group I4/mmm (No. 139)
Symmetry-distinct sites (fractional):
1 K 0.0000 0.5000 0.2500 (multiplicity 4)  4 I 3.82, 8 Cl 3.96
2 Ce 0.0000 0.0000 0.0000 (multiplicity 2)  4 Cl 2.61
3 I 0.0000 0.0000 0.2637 (multiplicity 4)  1 Ce 3.06
4 Cl 0.2414 0.2414 0.0000 (multiplicity 8)  1 Ce 2.61

***

3.
Na3ErPd3O8: relaxed, PBE.

Properties
formation energy without anion corrections	-1.22	eV per atom

Unit cell a=11.7043 b=6.1434 c=6.3574 alpha=90.00 beta=118.42 gamma=90.00
Last column: nearest neighbours and their distance in Å.
Space group C2/m (No. 12)
Symmetry-distinct sites (fractional):
1 Na 0.0000 0.0000 0.0000 (multiplicity 2)  6 O 2.33-2.49
2 Na 0.2500 0.2500 0.0000 (multiplicity 4)  4 O 2.37-2.40
3 Er 0.0000 0.0000 0.5000 (multiplicity 2)  6 O 2.22-2.30
4 Pd 0.0000 0.5000 0.5000 (multiplicity 2)  4 O 2.04
5 Pd 0.2500 0.2500 0.5000 (multiplicity 4)  6 O 2.06-2.09
6 O 0.0472 0.2699 0.3230 (multiplicity 8)  2 Pd 2.04-2.09, 1 Er 2.22
7 O 0.2227 0.0000 0.2636 (multiplicity 4)  2 Pd 2.06
8 O 0.2236 0.0000 0.6965 (multiplicity 4)  2 Pd 2.09, 1 Er 2.30

***

What final energy values result from the calculations? In sequence: -0.51334; -0.27940; -0.40246 Ry per atom.
What theoretical density values result from the calculations? In sequence: 9.06; 3.01; 5.65 g cm⁻³.